Entry from the Alexandria database: TaP4H2 after structural relaxation (GGA-PBE).

a b c (Å): 4.7309 4.7309 11.3152
angles (deg): 90.00 90.00 90.00
Atoms (fractional coordinates):
Ta (0.0000, 0.0000, 0.0000)
Ta (0.5000, 0.5000, 0.5000)
P (0.0000, 0.0000, 0.2196)
P (0.0000, 0.0000, 0.7804)
P (0.0000, 0.5000, 0.0000)
P (0.0000, 0.5000, 0.5000)
P (0.5000, 0.0000, 0.0000)
P (0.5000, 0.0000, 0.5000)
P (0.5000, 0.5000, 0.2804)
P (0.5000, 0.5000, 0.7196)
H (0.0000, 0.0000, 0.3461)
H (0.0000, 0.0000, 0.6539)
H (0.5000, 0.5000, 0.1539)
H (0.5000, 0.5000, 0.8461)

Values from the calculation:
* magnetic moment: 0.9 μB/f.u.
* DFT total energy: -5.125 eV per atom
* V: 253.3 Å³ per cell
* space group: I4/mmm